No. 1
Density functional theory data (PBE-GGA) for crystalline SrRh3Br at its relaxed geometry.

Cell lengths 5.172, 5.172, 5.172 Å; angles 90.00, 90.00, 90.00 degrees
Fractional coordinates of all 5 atoms:
Sr: 0.000 0.000 0.000
Rh: 0.000 0.000 0.500
Rh: 0.000 0.500 0.000
Rh: 0.500 0.000 0.000
Br: 0.500 0.500 0.500

Properties
magnetic moment	2.83	μB/cell
ΔE to the lowest computed polymorph	1382	meV per atom
electronic total energy	-3.3487	eV per atom
energy relative to the elements, uncorrected	1733	meV per atom
D(E_F)	1.793	states/eV per atom

No. 2
Density functional theory data (PBE-GGA) for crystalline SrYRhBr2 at its relaxed geometry.

Cell lengths 5.276, 5.276, 5.446 Å; angles 90.00, 90.00, 90.00 degrees
Fractional coordinates of all 5 atoms:
Sr: 0.000 0.000 0.000
Y: 0.500 0.500 0.000
Rh: 0.000 0.000 0.500
Br: 0.000 0.500 0.500
Br: 0.500 0.000 0.500

Properties
magnetic moment	0.13	μB/cell
electronic total energy	-3.8102	eV per atom
energy relative to the elements, uncorrected	-42	meV per atom
D(E_F)	1.045	states/eV per atom

No. 3
Density functional theory data (PBE-GGA) for crystalline Sr2ZnRhBr at its relaxed geometry.

Cell lengths 5.786, 5.786, 4.794 Å; angles 90.00, 90.00, 90.00 degrees
Fractional coordinates of all 5 atoms:
Sr: 0.000 0.500 0.000
Sr: 0.500 0.000 0.000
Zn: 0.000 0.000 0.500
Rh: 0.000 0.000 0.000
Br: 0.500 0.500 0.500

Properties
magnetic moment	0.00	μB/cell
electronic total energy	-3.3932	eV per atom
energy relative to the elements, uncorrected	-661	meV per atom
D(E_F)	0.345	states/eV per atom

No. 4
Density functional theory data (PBE-GGA) for crystalline SrZrRh2Br at its relaxed geometry.

Cell lengths 4.945, 4.945, 5.351 Å; angles 90.00, 90.00, 90.00 degrees
Fractional coordinates of all 5 atoms:
Sr: 0.000 0.000 0.000
Zr: 0.500 0.500 0.500
Rh: 0.000 0.500 0.000
Rh: 0.500 0.000 0.000
Br: 0.000 0.000 0.500

Properties
magnetic moment	0.01	μB/cell
electronic total energy	-4.2250	eV per atom
energy relative to the elements, uncorrected	1096	meV per atom
D(E_F)	1.557	states/eV per atom

No. 5
Density functional theory data (PBE-GGA) for crystalline TaRhBr2 at its relaxed geometry.

Cell lengths 3.291, 3.291, 8.958 Å; angles 90.00, 90.00, 124.82 degrees
Fractional coordinates of all 4 atoms:
Ta: 0.000 0.000 0.000
Rh: 0.000 0.000 0.500
Br: 0.500 0.500 0.246
Br: 0.500 0.500 0.754

Properties
magnetic moment	0.55	μB/cell
ΔE to the lowest computed polymorph	967	meV per atom
electronic total energy	-5.0817	eV per atom
energy relative to the elements, uncorrected	556	meV per atom
D(E_F)	1.142	states/eV per atom

No. 6
Density functional theory data (PBE-GGA) for crystalline TaRhBr2 at its relaxed geometry.

Cell lengths 6.640, 6.640, 6.640 Å; angles 151.75, 135.15, 53.86 degrees
Fractional coordinates of all 4 atoms:
Ta: 0.000 0.000 0.000
Rh: 0.849 0.349 0.500
Br: 0.193 0.693 0.500
Br: 0.492 0.492 0.000

Properties
magnetic moment	0.00	μB/cell
ΔE to the lowest computed polymorph	618	meV per atom
electronic total energy	-5.4311	eV per atom
energy relative to the elements, uncorrected	206	meV per atom
D(E_F)	0.495	states/eV per atom

No. 7
Density functional theory data (PBE-GGA) for crystalline TaRhBr2 at its relaxed geometry.

Cell lengths 5.355, 5.355, 3.191 Å; angles 104.67, 104.67, 111.16 degrees
Fractional coordinates of all 4 atoms:
Ta: 0.000 0.000 0.000
Rh: 0.500 0.500 0.000
Br: 0.000 0.500 0.000
Br: 0.500 0.000 0.000

Properties
magnetic moment	0.00	μB/cell
ΔE to the lowest computed polymorph	931	meV per atom
electronic total energy	-5.1180	eV per atom
energy relative to the elements, uncorrected	520	meV per atom
D(E_F)	0.590	states/eV per atom

No. 8
Density functional theory data (PBE-GGA) for crystalline TaRhBr2 at its relaxed geometry.

Cell lengths 3.057, 4.478, 5.541 Å; angles 90.00, 90.00, 90.00 degrees
Fractional coordinates of all 4 atoms:
Ta: 0.000 0.000 0.000
Rh: 0.500 0.000 0.500
Br: 0.000 0.500 0.500
Br: 0.500 0.500 0.000

Properties
magnetic moment	0.00	μB/cell
ΔE to the lowest computed polymorph	1007	meV per atom
electronic total energy	-5.0415	eV per atom
energy relative to the elements, uncorrected	596	meV per atom
D(E_F)	1.167	states/eV per atom

No. 9
Density functional theory data (PBE-GGA) for crystalline TaRhBr2 at its relaxed geometry.

Cell lengths 3.225, 4.473, 5.386 Å; angles 90.00, 93.22, 90.00 degrees
Fractional coordinates of all 4 atoms:
Ta: 0.000 0.000 0.000
Rh: 0.500 0.000 0.500
Br: 0.223 0.500 0.249
Br: 0.777 0.500 0.751

Properties
magnetic moment	0.00	μB/cell
ΔE to the lowest computed polymorph	956	meV per atom
electronic total energy	-5.0926	eV per atom
energy relative to the elements, uncorrected	545	meV per atom
D(E_F)	1.030	states/eV per atom

No. 10
Density functional theory data (PBE-GGA) for crystalline TaRhBr2 at its relaxed geometry.

Cell lengths 7.558, 7.558, 4.278 Å; angles 94.78, 94.78, 24.99 degrees
Fractional coordinates of all 4 atoms:
Ta: 0.000 0.000 0.000
Rh: 0.500 0.500 0.500
Br: 0.359 0.359 0.804
Br: 0.641 0.641 0.196

Properties
magnetic moment	0.00	μB/cell
ΔE to the lowest computed polymorph	296	meV per atom
electronic total energy	-5.7523	eV per atom
energy relative to the elements, uncorrected	-115	meV per atom
D(E_F)	0.572	states/eV per atom

No. 11
Density functional theory data (PBE-GGA) for crystalline TaRhBr2 at its relaxed geometry.

Cell lengths 3.519, 3.317, 8.412 Å; angles 90.00, 102.00, 90.00 degrees
Fractional coordinates of all 4 atoms:
Ta: 0.000 0.000 0.000
Rh: 0.567 0.500 0.136
Br: 0.163 0.000 0.330
Br: 0.875 0.500 0.749

Properties
magnetic moment	0.00	μB/cell
ΔE to the lowest computed polymorph	11	meV per atom
electronic total energy	-6.0378	eV per atom
energy relative to the elements, uncorrected	-400	meV per atom
D(E_F)	0.240	states/eV per atom

No. 12
Density functional theory data (PBE-GGA) for crystalline TaRhBr2 at its relaxed geometry.

Cell lengths 9.090, 9.090, 9.090 Å; angles 22.85, 22.85, 22.85 degrees
Fractional coordinates of all 4 atoms:
Ta: 0.000 0.000 0.000
Rh: 0.718 0.718 0.718
Br: 0.259 0.259 0.259
Br: 0.454 0.454 0.454

Properties
magnetic moment	0.00	μB/cell
ΔE to the lowest computed polymorph	0	meV per atom
electronic total energy	-6.0487	eV per atom
energy relative to the elements, uncorrected	-411	meV per atom

What is the energy relative to the elements, uncorrected in the twelfth record?
-411 meV per atom

Among the records above, which one has the lowest electronic total energy?
number 12